Here is crystalline AlSb2TeO at its relaxed geometry from the Alexandria database. Energies are from PBE.

Cell: 5.230 5.230 5.132 Å, 90.00 90.00 90.00°
Sites, in units of the cell vectors:
Te: 0.000 0.000 0.500
Sb: 0.500 0.000 0.000
O: 0.500 0.500 0.500
Al: 0.000 0.000 0.000
Sb: 0.000 0.500 0.000

Crystal system: tetragonal
Symmetry: P4/mmm, No. 123
Formation energy from raw total energies (eV per atom): 0.891
DOS at the Fermi energy (states/eV per atom): 1.93